# 1
PBE-GGA MgAl2ZnPt4, optimized geometry; ΔE_f = -0.8490 eV per atom; space group = R-3m
1.0
4.3895 0.0000 0.0000
2.1948 3.8014 0.0000
2.1948 1.2671 7.1430
Mg Al Pt Zn
1 2 4 1
Direct
0.0000 0.0000 0.0000
0.2506 0.2506 0.2483
0.7494 0.7494 0.7517
0.8738 0.8738 0.3788
0.1262 0.1262 0.6212
0.6228 0.6228 0.1316
0.3772 0.3772 0.8684
0.5000 0.5000 0.5000

# 2
PBE-GGA MgAlZnPt, optimized geometry; ΔE_f = -0.3704 eV per atom; space group = R3m
1.0
4.2407 0.0000 0.0000
2.1203 3.6725 0.0000
2.1203 1.2242 4.4934
Mg Pt Zn Al
1 1 1 1
Direct
0.8225 0.8225 0.5326
0.0271 0.0271 0.9188
0.2457 0.2457 0.2628
0.6306 0.6306 0.1082

# 3
PBE-GGA Mg2Al2ZnPt5, optimized geometry; ΔE_f = -0.7601 eV per atom; space group = P4/mbm
1.0
-0.3442 0.5297 -3.5913
-6.9447 -6.3321 -0.2685
-6.2753 6.8143 1.6065
Al Mg Pt Zn
4 4 10 2
Direct
0.0000 0.8721 0.3721
0.0000 0.3721 0.1279
0.0000 0.1279 0.6279
0.0000 0.6279 0.8721
0.0000 0.3286 0.8286
0.0000 0.6714 0.1714
0.0000 0.8286 0.6714
0.0000 0.1714 0.3286
0.5000 0.9257 0.1993
0.5000 0.5000 0.0000
0.5000 0.0743 0.8007
0.5000 0.5743 0.6993
0.5000 0.1993 0.0743
0.5000 0.3007 0.5743
0.5000 0.4257 0.3007
0.5000 0.6993 0.4257
0.5000 0.0000 0.5000
0.5000 0.8007 0.9257
0.0000 0.5000 0.5000
0.0000 0.0000 0.0000

# 4
PBE-GGA Pu2Mg2Al15, optimized geometry; ΔE_f = -0.0951 eV per atom; space group = R-3m
1.0
-6.0349 3.7323 0.4472
-0.8222 -0.3749 7.0522
2.8957 6.2870 1.6243
Mg Al Pu
2 15 2
Direct
0.1024 0.1024 0.1024
0.8976 0.8976 0.8976
0.0000 0.5000 0.0000
0.3000 0.0000 0.7000
0.0000 0.0000 0.5000
0.5000 0.0000 0.0000
0.3539 0.3539 0.8411
0.1589 0.6461 0.6461
0.3539 0.8411 0.3539
0.3000 0.7000 0.0000
0.0000 0.3000 0.7000
0.7000 0.0000 0.3000
0.7000 0.3000 0.0000
0.0000 0.7000 0.3000
0.8411 0.3539 0.3539
0.6461 0.1589 0.6461
0.6461 0.6461 0.1589
0.3453 0.3453 0.3453
0.6547 0.6547 0.6547